Arrangement i

VASP calculation (GGA-PBE) on a relaxed structure of Er3Si3Os2.

Structure (POSCAR):
```
Er3Si3Os2
1.0
4.1756 0.0000 0.0000
-2.0878 5.3062 0.0000
0.0000 0.0000 13.5983
Er Si Os
6 6 4
direct
0.9245 0.8490 0.3844
0.0755 0.1510 0.8844
0.9245 0.8490 0.1156
0.0755 0.1510 0.6156
0.6419 0.2839 0.2500
0.3581 0.7161 0.7500
0.6159 0.2317 0.4619
0.3841 0.7683 0.9619
0.6159 0.2317 0.0381
0.3841 0.7683 0.5381
0.3274 0.6547 0.2500
0.6726 0.3453 0.7500
0.7874 0.5748 0.9178
0.2126 0.4252 0.4178
0.7874 0.5748 0.5822
0.2126 0.4252 0.0822
```

The value obtained for the volume is 301.29 Å³/cell.

***

Arrangement ii

VASP calculation (GGA-PBE) on a relaxed structure of Er3Si3Os2.

Structure (POSCAR):
```
Er3Si3Os2
1.0
-3.9721 -1.1100 -3.8601
-4.2749 -3.8388 5.5027
-6.4783 11.8751 3.2515
Er Si Os
12 12 8
direct
0.1186 0.4449 0.3865
0.6186 0.0551 0.6135
0.8814 0.5551 0.8865
0.3814 0.9449 0.1135
0.8814 0.5551 0.6135
0.3814 0.9449 0.3865
0.1186 0.4449 0.1135
0.6186 0.0551 0.8865
0.6294 0.3015 0.2500
0.1294 0.1985 0.7500
0.3706 0.6985 0.7500
0.8706 0.8015 0.2500
0.0951 0.1458 0.2500
0.5951 0.3542 0.7500
0.9049 0.8542 0.7500
0.4049 0.6458 0.2500
0.6399 0.3105 0.4599
0.1399 0.1895 0.5401
0.3601 0.6895 0.9599
0.8601 0.8105 0.0401
0.3601 0.6895 0.5401
0.8601 0.8105 0.4599
0.6399 0.3105 0.0401
0.1399 0.1895 0.9599
0.8915 0.0936 0.4106
0.3915 0.4064 0.5894
0.1085 0.9064 0.9106
0.6085 0.5936 0.0894
0.1085 0.9064 0.5894
0.6085 0.5936 0.4106
0.8915 0.0936 0.0894
0.3915 0.4064 0.9106
```

The value obtained for the volume is 625.23 Å³/cell.

***

Most stable to least stable, the ends of the list are arrangement i and arrangement ii.

***

Arrangement i

VASP calculation (GGA-PBE) on a relaxed structure of ErSi2Os2.

Structure (POSCAR):
```
ErSi2Os2
1.0
5.6365 0.0254 0.0000
2.5432 5.0301 0.0000
-4.0898 -2.5278 2.9417
Er Si Os
1 2 2
direct
0.0000 0.0000 0.0000
0.6270 0.6270 0.0000
0.3730 0.3730 0.0000
0.7500 0.2500 0.5000
0.2500 0.7500 0.5000
```

The value obtained for the volume is 83.21 Å³/cell.

***

Arrangement ii

VASP calculation (GGA-PBE) on a relaxed structure of ErSi2Os2.

Structure (POSCAR):
```
ErSi2Os2
1.0
4.0768 0.0000 0.0000
0.0000 4.0768 0.0000
0.0000 0.0000 4.9865
Er Si Os
1 2 2
direct
0.0000 0.0000 0.0000
0.5000 0.5000 0.7660
0.5000 0.5000 0.2340
0.5000 0.0000 0.5000
0.0000 0.5000 0.5000
```

The value obtained for the volume is 82.88 Å³/cell.

***

Most stable to least stable, the ends of the list are arrangement i and arrangement ii.